(1)
The following is a DFT calculation (GGA-PBE) of ReSe2Cl after structural relaxation.

abc: 2.6321 3.3280 9.5122
angles: 90.00 91.45 90.00
Fractional coordinates of all 4 atoms:
Re  0.0000  0.0000  0.0000
Se  0.0187  0.5000  0.2043
Se  0.9813  0.5000  0.7957
Cl  0.5000  0.0000  0.5000

Output
The density of states at the Fermi level is 3.29 states/eV/cell.

***

(2)
The following is a DFT calculation (GGA-PBE) of ReSe2Cl after structural relaxation.

abc: 6.4288 3.2485 6.5242
angles: 90.00 118.41 90.00
Fractional coordinates of all 4 atoms:
Re  0.0000  0.0000  0.0000
Se  0.2547  0.5000  0.9592
Se  0.6627  0.0000  0.6565
Cl  0.9771  0.5000  0.2691

Output
The density of states at the Fermi level is 0.57 states/eV/cell.

***

(3)
The following is a DFT calculation (GGA-PBE) of ReSe2Cl5 after structural relaxation.

abc: 4.9297 7.9107 7.9370
angles: 97.41 108.09 108.11
Fractional coordinates of all 8 atoms:
Re  0.0000  0.0000  0.0000
Se  0.2095  0.5030  0.5025
Se  0.7657  0.5032  0.5027
Cl  0.1758  0.0402  0.3118
Cl  0.1786  0.3145  0.0437
Cl  0.4852  0.0022  0.9686
Cl  0.8212  0.9577  0.6851
Cl  0.8237  0.6866  0.9604

Output
The density of states at the Fermi level is 6.30 states/eV/cell.

***

(4)
The following is a DFT calculation (GGA-PBE) of ReSe2Cl after structural relaxation.

abc: 2.9592 2.9592 9.7737
angles: 90.00 90.00 90.00
Fractional coordinates of all 4 atoms:
Re  0.0000  0.0000  0.0000
Se  0.0000  0.0000  0.4825
Se  0.5000  0.5000  0.1534
Cl  0.5000  0.5000  0.8280

Output
The density of states at the Fermi level is 2.70 states/eV/cell.

***

(5)
The following is a DFT calculation (GGA-PBE) of ReTeSeCl4 after structural relaxation.

abc: 10.7583 10.7583 10.7583
angles: 114.38 114.38 100.04
Fractional coordinates of all 28 atoms:
Re  0.6503  0.0618  0.3572
Re  0.7046  0.2931  0.6428
Re  0.7069  0.3497  0.4115
Re  0.9382  0.2954  0.5885
Te  0.1592  0.1938  0.6005
Te  0.4412  0.8408  0.0345
Te  0.5933  0.5588  0.3995
Te  0.8062  0.4067  0.9655
Se  0.4831  0.1902  0.3722
Se  0.8098  0.1819  0.2928
Se  0.8181  0.1109  0.6278
Se  0.8891  0.5169  0.7072
Cl  0.0196  0.6402  0.1264
Cl  0.1075  0.0595  0.3308
Cl  0.1069  0.9804  0.6207
Cl  0.1430  0.4514  0.5958
Cl  0.1486  0.3921  0.8663
Cl  0.2234  0.8925  0.9521
Cl  0.3598  0.4862  0.3793
Cl  0.4527  0.8570  0.3083
Cl  0.5138  0.8931  0.8736
Cl  0.5258  0.2823  0.1337
Cl  0.5486  0.1444  0.6917
Cl  0.6079  0.4742  0.7565
Cl  0.7177  0.8514  0.2435
Cl  0.7287  0.7766  0.6692
Cl  0.8556  0.5473  0.4042
Cl  0.9405  0.2713  0.0479

Output
The density of states at the Fermi level is 0.00 states/eV/cell.

***

(6)
The following is a DFT calculation (GGA-PBE) of Th4ReSe2Cl after structural relaxation.

abc: 7.2362 4.1284 7.5000
angles: 90.00 108.85 90.00
Fractional coordinates of all 8 atoms:
Th  0.2264  0.0000  0.2260
Th  0.2427  0.5000  0.7613
Th  0.7573  0.5000  0.2387
Th  0.7736  0.0000  0.7740
Re  0.0000  0.5000  0.0000
Se  0.0000  0.0000  0.5000
Se  0.5000  0.5000  0.5000
Cl  0.5000  0.0000  0.0000

Output
The density of states at the Fermi level is 6.36 states/eV/cell.

***

(7)
The following is a DFT calculation (GGA-PBE) of TlRe3Se4Cl2 after structural relaxation.

abc: 6.6672 9.1788 9.1966
angles: 85.84 81.77 69.71
Fractional coordinates of all 20 atoms:
Tl  0.1638  0.1528  0.4555
Tl  0.8362  0.8472  0.5445
Re  0.2710  0.4256  0.0200
Re  0.3252  0.6761  0.1079
Re  0.4125  0.6030  0.8233
Re  0.5875  0.3970  0.1767
Re  0.6748  0.3239  0.8921
Re  0.7290  0.5744  0.9800
Se  0.0266  0.7103  0.9492
Se  0.1957  0.4946  0.2906
Se  0.3625  0.3566  0.7510
Se  0.4688  0.8396  0.9137
Se  0.5312  0.1604  0.0863
Se  0.6375  0.6434  0.2490
Se  0.8043  0.5054  0.7094
Se  0.9734  0.2897  0.0508
Cl  0.0953  0.9056  0.2463
Cl  0.3066  0.7405  0.5930
Cl  0.6934  0.2595  0.4070
Cl  0.9047  0.0944  0.7537

***

(8)
The following is a DFT calculation (GGA-PBE) of Tl5Re6Se8Cl7 after structural relaxation.

abc: 18.7240 18.7240 18.7240
angles: 30.20 30.20 30.20
Fractional coordinates of all 52 atoms:
Tl  0.0000  0.0000  0.0000
Tl  0.0948  0.7969  0.3996
Tl  0.1943  0.1943  0.1943
Tl  0.2969  0.5948  0.8996
Tl  0.3996  0.0948  0.7969
Tl  0.5000  0.5000  0.5000
Tl  0.5948  0.8996  0.2969
Tl  0.6943  0.6943  0.6943
Tl  0.7969  0.3996  0.0948
Tl  0.8996  0.2969  0.5948
Re  0.0007  0.9064  0.6951
Re  0.1937  0.4994  0.2881
Re  0.1951  0.4064  0.5007
Re  0.2881  0.1937  0.4994
Re  0.4064  0.5007  0.1951
Re  0.4994  0.2881  0.1937
Re  0.5007  0.1951  0.4064
Re  0.6937  0.7881  0.9994
Re  0.6951  0.0007  0.9064
Re  0.7881  0.9994  0.6937
Re  0.9064  0.6951  0.0007
Re  0.9994  0.6937  0.7881
Se  0.0841  0.9039  0.4946
Se  0.1104  0.6999  0.2904
Se  0.1999  0.6104  0.7904
Se  0.2888  0.2888  0.2888
Se  0.2904  0.1104  0.6999
Se  0.4039  0.5841  0.9946
Se  0.4056  0.4056  0.4056
Se  0.4946  0.0841  0.9039
Se  0.5841  0.9946  0.4039
Se  0.6104  0.7904  0.1999
Se  0.6999  0.2904  0.1104
Se  0.7888  0.7888  0.7888
Se  0.7904  0.1999  0.6104
Se  0.9039  0.4946  0.0841
Se  0.9056  0.9056  0.9056
Se  0.9946  0.4039  0.5841
Cl  0.0969  0.0969  0.0969
Cl  0.1975  0.4947  0.7075
Cl  0.1997  0.9873  0.4966
Cl  0.2075  0.9947  0.6975
Cl  0.4873  0.6997  0.9966
Cl  0.4947  0.7075  0.1975
Cl  0.4966  0.1997  0.9873
Cl  0.5969  0.5969  0.5969
Cl  0.6975  0.2075  0.9947
Cl  0.6997  0.9966  0.4873
Cl  0.7075  0.1975  0.4947
Cl  0.9873  0.4966  0.1997
Cl  0.9947  0.6975  0.2075
Cl  0.9966  0.4873  0.6997

Output
The density of states at the Fermi level is 0.00 states/eV/cell.

***

(9)
The following is a DFT calculation (GGA-PBE) of TlRe6Se8Cl3 after structural relaxation.

abc: 9.1914 9.3789 11.2283
angles: 90.91 110.23 94.11
Fractional coordinates of all 36 atoms:
Tl  0.0469  0.3651  0.1422
Tl  0.9531  0.6349  0.8578
Re  0.1400  0.0496  0.6478
Re  0.2990  0.2544  0.8153
Re  0.3001  0.2577  0.5800
Re  0.3934  0.9933  0.8376
Re  0.3942  0.9927  0.6018
Re  0.4425  0.8023  0.2307
Re  0.5575  0.1977  0.7693
Re  0.6058  0.0073  0.3982
Re  0.6066  0.0067  0.1624
Re  0.6999  0.7423  0.4200
Re  0.7010  0.7456  0.1847
Re  0.8600  0.9504  0.3522
Se  0.0600  0.3041  0.6304
Se  0.1464  0.0479  0.8759
Se  0.1553  0.0551  0.4178
Se  0.2362  0.8006  0.6726
Se  0.3663  0.0584  0.2126
Se  0.4481  0.7890  0.4585
Se  0.4488  0.7896  0.0058
Se  0.4588  0.4467  0.7463
Se  0.5412  0.5533  0.2537
Se  0.5512  0.2104  0.9942
Se  0.5519  0.2110  0.5415
Se  0.6337  0.9416  0.7874
Se  0.7638  0.1994  0.3274
Se  0.8447  0.9449  0.5822
Se  0.8536  0.9521  0.1241
Se  0.9400  0.6959  0.3696
Cl  0.1725  0.7054  0.1552
Cl  0.2366  0.4269  0.9517
Cl  0.2452  0.4351  0.4209
Cl  0.7548  0.5649  0.5791
Cl  0.7634  0.5731  0.0483
Cl  0.8275  0.2946  0.8448

***

(10)
The following is a DFT calculation (GGA-PBE) of YRe2SeCl after structural relaxation.

abc: 4.5299 4.5299 5.7769
angles: 90.00 90.00 90.00
Fractional coordinates of all 5 atoms:
Y  0.0000  0.0000  0.0000
Re  0.0000  0.5000  0.5000
Re  0.5000  0.0000  0.5000
Se  0.0000  0.0000  0.5000
Cl  0.5000  0.5000  0.0000

Output
The density of states at the Fermi level is 5.16 states/eV/cell.

***

(11)
The following is a DFT calculation (GGA-PBE) of ReSiCl2 after structural relaxation.

abc: 4.0543 4.0543 4.0989
angles: 90.00 90.00 90.00
Fractional coordinates of all 4 atoms:
Re  0.0000  0.0000  0.0000
Si  0.5000  0.5000  0.0000
Cl  0.0000  0.5000  0.5000
Cl  0.5000  0.0000  0.5000

Output
The density of states at the Fermi level is 3.60 states/eV/cell.

***

Summary of E_form (uncorrected) in eV/f.u.
0.74 -0.41 -1.87 1.24 -4.22 -8.13 -6.09 -18.38 -10.16 4.66 5.00
(order as listed above)
Summary of total DFT energy (no corrections) in eV/atom
-5.1300 -5.4174 -3.8155 -5.0056 -4.3836 -7.3843 -6.3429 -5.6038 -6.7018 -6.4072 -4.1418
(order as listed above)